w) # BaSr2Tb (PBE, optimized geometry)
data_BaSr2Tb
_chemical_formula_sum 'Ba3 Sr6 Tb3'
_symmetry_space_group_name_H-M 'R -3 m'
_symmetry_Int_Tables_number 166
_symmetry_space_group_name_Hall '-R 3 2"'
_cell_length_a 3.9377
_cell_length_b 3.9377
_cell_length_c 43.0885
_cell_angle_alpha 90.00
_cell_angle_beta 90.00
_cell_angle_gamma 120.00
loop_
_atom_site_label
_atom_site_type_symbol
_atom_site_fract_x
_atom_site_fract_y
_atom_site_fract_z
Ba1 Ba 0.0000 0.0000 0.0000
Sr1 Sr 0.0000 0.0000 0.4174
Tb1 Tb 0.0000 0.0000 0.5000
# - Total magnetic moment: 0.84 μB/f.u.
# - Volume: 579 Å³ per cell



x) # BaSr2Tb (PBE, optimized geometry)
data_BaSr2Tb
_chemical_formula_sum 'Ba3 Sr6 Tb3'
_symmetry_space_group_name_H-M 'R 3 m'
_symmetry_Int_Tables_number 160
_symmetry_space_group_name_Hall 'R 3 -2"'
_cell_length_a 4.0698
_cell_length_b 4.0698
_cell_length_c 40.3348
_cell_angle_alpha 90.00
_cell_angle_beta 90.00
_cell_angle_gamma 120.00
loop_
_atom_site_label
_atom_site_type_symbol
_atom_site_fract_x
_atom_site_fract_y
_atom_site_fract_z
Ba1 Ba 0.0000 0.0000 0.0000
Sr1 Sr 0.0000 0.0000 0.5761
Sr2 Sr 0.0000 0.0000 0.7569
Tb1 Tb 0.0000 0.0000 0.1666
# - Total magnetic moment: 0.92 μB/f.u.
# - Volume: 579 Å³ per cell



Last place for stability: w)



w) # Ba3SrTc (PBE, optimized geometry)
data_Ba3SrTc
_chemical_formula_sum 'Ba3 Sr1 Tc1'
_symmetry_space_group_name_H-M 'P m -3 m'
_symmetry_Int_Tables_number 221
_symmetry_space_group_name_Hall '-P 4 2 3'
_cell_length_a 6.3494
_cell_length_b 6.3494
_cell_length_c 6.3494
_cell_angle_alpha 90.00
_cell_angle_beta 90.00
_cell_angle_gamma 90.00
loop_
_atom_site_label
_atom_site_type_symbol
_atom_site_fract_x
_atom_site_fract_y
_atom_site_fract_z
Ba1 Ba 0.0000 0.0000 0.5000
Sr1 Sr 0.0000 0.0000 0.0000
Tc1 Tc 0.5000 0.5000 0.5000
# - Total magnetic moment: 0.00 μB/f.u.
# - Volume: 256 Å³ per cell



x) # Ba3SrTc (PBE, optimized geometry)
data_Ba3SrTc
_chemical_formula_sum 'Ba3 Sr1 Tc1'
_symmetry_space_group_name_H-M 'P m -3 m'
_symmetry_Int_Tables_number 221
_symmetry_space_group_name_Hall '-P 4 2 3'
_cell_length_a 6.1780
_cell_length_b 6.1780
_cell_length_c 6.1780
_cell_angle_alpha 90.00
_cell_angle_beta 90.00
_cell_angle_gamma 90.00
loop_
_atom_site_label
_atom_site_type_symbol
_atom_site_fract_x
_atom_site_fract_y
_atom_site_fract_z
Ba1 Ba 0.0000 0.0000 0.5000
Sr1 Sr 0.5000 0.5000 0.5000
Tc1 Tc 0.0000 0.0000 0.0000
# - Total magnetic moment: 1.19 μB/f.u.
# - Volume: 236 Å³ per cell



Last place for stability: w)